## InCoNO (GGA+U)

Data for a relaxed InCoNO crystal.

Cell lengths 4.4450, 4.4450, 4.5967 Å; angles 90.00, 90.00, 90.00 degrees
Sites, in units of the cell vectors:
In 0.2500 0.7500 0.0000
In 0.7500 0.2500 0.0000
Co 0.2500 0.2500 0.4982
Co 0.7500 0.7500 0.5018
N 0.2500 0.2500 0.9936
N 0.7500 0.7500 0.0064
O 0.2500 0.7500 0.5000
O 0.7500 0.2500 0.5000

Total magnetic moment in μB per formula unit: 3.0
Total DFT energy (no corrections) in eV per formula unit: -22.11